Density functional theory data (GGA-PBE) for a relaxed K2SeO crystal.

POSCAR file:
```
K2SeO
1.0
-0.6843 -0.4178 3.9976
4.5723 0.0684 0.7899
-0.0674 11.2272 -0.5818
Se K O
2 4 2
Direct
0.1669 0.5000 0.2359
0.1669 0.0000 0.7359
0.6207 0.0000 0.0573
0.7614 0.0000 0.3466
0.7614 0.5000 0.8466
0.6207 0.5000 0.5573
0.0813 0.0000 0.8966
0.0813 0.5000 0.3966
```

Results
* distance to the lowest polymorph of the same formula: 116.8 meV/atom
* ρ: 2.7 g/cm3
* E: -3.628 eV/atom

---

Density functional theory data (GGA-PBE) for a relaxed K7SeO2 crystal.

POSCAR file:
```
K7SeO2
1.0
-2.6466 -4.2404 1.5217
3.9801 -4.4437 -5.4605
4.0041 0.0225 7.0265
K Se O
7 1 2
Direct
0.0000 0.7143 0.2857
0.5000 0.3133 0.0401
0.5000 0.6867 0.9599
0.5000 0.9599 0.6867
0.5000 0.0401 0.3133
0.0000 0.2857 0.7143
0.5000 0.5000 0.5000
0.0000 0.0000 0.0000
0.5000 0.7036 0.2964
0.5000 0.2964 0.7036
```

Results
* ρ: 2.0 g/cm3
* Fermi-level density of states: 2.48 states/eV per cell
* E: -2.953 eV/atom

---

Density functional theory data (GGA-PBE) for a relaxed K2Se2O5 crystal.

POSCAR file:
```
K2Se2O5
1.0
-3.2639 -0.8756 2.5310
5.2001 -6.4718 -0.5956
2.0849 3.5995 4.6839
Se O K
2 5 2
Direct
0.8747 0.1946 0.1156
0.0931 0.8315 0.8946
0.8650 0.9642 0.1052
0.0791 0.2347 0.8855
0.8396 0.7351 0.6613
0.1410 0.3282 0.3394
0.0014 0.6669 0.0209
0.4672 0.6807 0.3071
0.6388 0.3642 0.6704
```

Results
* distance to the lowest polymorph of the same formula: 21.1 meV/atom
* ρ: 2.7 g/cm3
* Fermi-level density of states: 0.00 states/eV per cell
* E: -5.039 eV/atom

---

Density functional theory data (GGA-PBE) for a relaxed K2SeO crystal.

POSCAR file:
```
K2SeO
1.0
-2.7670 4.6281 -0.6646
-4.6749 -2.7451 0.3473
0.0140 0.9340 7.5708
K Se O
4 2 2
Direct
0.7527 0.2500 0.0000
0.2520 0.2500 0.6691
0.7480 0.7500 0.3309
0.2473 0.7500 0.0000
0.2605 0.2500 0.2490
0.7395 0.7500 0.7510
0.7480 0.7500 0.9947
0.2520 0.2500 0.0053
```

Results
* distance to the lowest polymorph of the same formula: 9.7 meV/atom
* ρ: 2.6 g/cm3
* E: -3.735 eV/atom

---

Density functional theory data (GGA-PBE) for a relaxed K2Se2O5 crystal.

POSCAR file:
```
K2Se2O5
1.0
-0.3280 -6.2448 -7.8224
0.3204 -8.4584 6.7391
-25.9831 -0.0709 1.1462
Se O K
32 80 32
Direct
0.3204 0.7047 0.3588
0.3204 0.2047 0.1412
0.6581 0.7069 0.6133
0.7924 0.0143 0.4857
0.8419 0.7069 0.1133
0.6897 0.9929 0.7601
0.2924 0.9857 0.0143
0.1897 0.0071 0.7399
0.6796 0.2953 0.6412
0.3419 0.7931 0.1133
0.7076 0.5143 0.5143
0.2076 0.4857 0.9857
0.7924 0.5143 0.0143
0.1581 0.2931 0.8867
0.8204 0.2953 0.1412
0.1897 0.5071 0.7601
0.7076 0.0143 0.9857
0.1581 0.7931 0.6133
0.8419 0.2069 0.3867
0.8204 0.7953 0.3588
0.6796 0.7953 0.8588
0.2924 0.4857 0.4857
0.6581 0.2069 0.8867
0.3103 0.5071 0.2601
0.3419 0.2931 0.3867
0.1796 0.7047 0.8588
0.3103 0.0071 0.2399
0.6897 0.4929 0.7399
0.1796 0.2047 0.6412
0.2076 0.9857 0.5143
0.8103 0.4929 0.2399
0.8103 0.9929 0.2601
0.7818 0.1219 0.5323
0.8573 0.0138 0.9556
0.3237 0.6617 0.0792
0.4908 0.2820 0.3568
0.1763 0.1617 0.9208
0.5372 0.2524 0.6119
0.9044 0.4038 0.1886
0.4044 0.0962 0.1886
0.9628 0.7524 0.3881
0.7244 0.6760 0.8207
0.6923 0.3897 0.7883
0.3478 0.0035 0.7168
0.3478 0.5035 0.7832
0.7818 0.6219 0.9677
0.0092 0.7820 0.6432
0.9054 0.5940 0.0619
0.2244 0.8240 0.8207
0.7182 0.1219 0.0323
0.2182 0.8781 0.4677
0.5956 0.9038 0.8114
0.1427 0.9862 0.0444
0.0956 0.0962 0.6886
0.6923 0.8897 0.7117
0.7756 0.6760 0.3207
0.6522 0.9965 0.2832
0.5372 0.7524 0.8881
0.3077 0.1103 0.2883
0.8478 0.4965 0.7168
0.6763 0.8383 0.5792
0.5946 0.5940 0.5619
0.6522 0.4965 0.2168
0.4054 0.4060 0.4381
0.8573 0.5138 0.5444
0.4628 0.7476 0.3881
0.4908 0.7820 0.1432
0.9044 0.9038 0.3114
0.7244 0.1760 0.6793
0.5946 0.0940 0.9381
0.0372 0.7476 0.8881
0.4628 0.2476 0.1119
0.2818 0.3781 0.5323
0.5956 0.4038 0.6886
0.6427 0.0138 0.4556
0.3077 0.6103 0.2117
0.4044 0.5962 0.3114
0.8478 0.9965 0.7832
0.8077 0.8897 0.2117
0.2756 0.3240 0.1793
0.1522 0.0035 0.2168
0.0372 0.2476 0.6119
0.2182 0.3781 0.0323
0.6763 0.3383 0.9208
0.0956 0.5962 0.8114
0.1427 0.4862 0.4556
0.0946 0.9060 0.5619
0.9908 0.2180 0.3568
0.0092 0.2820 0.8568
0.8077 0.3897 0.2883
0.9628 0.2524 0.1119
0.5092 0.7180 0.6432
0.1763 0.6617 0.5792
0.1923 0.6103 0.7117
0.3237 0.1617 0.4208
0.7182 0.6219 0.4677
0.2818 0.8781 0.9677
0.2244 0.3240 0.6793
0.1923 0.1103 0.7883
0.2756 0.8240 0.3207
0.3573 0.4862 0.9556
0.5092 0.2180 0.8568
0.9908 0.7180 0.1432
0.1522 0.5035 0.2832
0.8237 0.3383 0.4208
0.3573 0.9862 0.5444
0.4054 0.9060 0.0619
0.6427 0.5138 0.0444
0.9054 0.0940 0.4381
0.8237 0.8383 0.0792
0.7756 0.1760 0.1793
0.0946 0.4060 0.9381
0.5024 0.4926 0.8673
0.1223 0.4945 0.1239
0.9961 0.7986 0.9908
0.9331 0.2476 0.7564
0.0024 0.0074 0.8673
0.5039 0.7986 0.4908
0.9976 0.4926 0.3673
0.9331 0.7476 0.7436
0.6223 0.0055 0.1239
0.4331 0.7524 0.7436
0.5039 0.2986 0.0092
0.8777 0.0055 0.6239
0.0039 0.7014 0.4908
0.5669 0.2476 0.2564
0.3777 0.9945 0.8761
0.5669 0.7476 0.2436
0.8777 0.5055 0.8761
0.9976 0.9926 0.1327
0.4331 0.2524 0.7564
0.0039 0.2014 0.0092
0.4961 0.2014 0.5092
0.6223 0.5055 0.3761
0.4961 0.7014 0.9908
0.0669 0.7524 0.2436
0.3777 0.4945 0.6239
0.9961 0.2986 0.5092
0.0024 0.5074 0.6327
0.1223 0.9945 0.3761
0.4976 0.5074 0.1327
0.0669 0.2524 0.2564
0.4976 0.0074 0.3673
0.5024 0.9926 0.6327
```

Results
* distance to the lowest polymorph of the same formula: 0.0 meV/atom
* ρ: 3.0 g/cm3
* Fermi-level density of states: 0.00 states/eV per cell
* E: -5.060 eV/atom

---

Density functional theory data (GGA-PBE) for a relaxed KSeO3 crystal.

POSCAR file:
```
KSeO3
1.0
3.8887 0.0000 0.0000
0.0000 3.8887 0.0000
0.0000 0.0000 3.8887
O Se K
3 1 1
Direct
0.5000 0.0000 0.0000
0.0000 0.0000 0.5000
0.0000 0.5000 0.0000
0.0000 0.0000 0.0000
0.5000 0.5000 0.5000
```

Results
* ρ: 4.7 g/cm3
* Fermi-level density of states: 1.83 states/eV per cell
* E: -4.606 eV/atom

---

Density functional theory data (GGA-PBE) for a relaxed K2SeO crystal.

POSCAR file:
```
K2SeO
1.0
9.7016 0.0000 0.0000
0.0000 9.4012 0.0000
-3.6608 0.0000 4.7150
Se K O
4 8 4
Direct
0.9412 0.8150 0.8672
0.9412 0.3150 0.3672
0.4412 0.1850 0.3672
0.4412 0.6850 0.8672
0.9434 0.1620 0.8592
0.4434 0.3380 0.8592
0.4434 0.8380 0.3592
0.6918 0.4999 0.5984
0.1918 0.0001 0.5984
0.1918 0.5001 0.0984
0.6918 0.9999 0.0984
0.9434 0.6620 0.3592
0.4411 0.0814 0.1033
0.4411 0.5814 0.6033
0.9411 0.4186 0.1033
0.9411 0.9186 0.6033
```

Results
* distance to the lowest polymorph of the same formula: 35.4 meV/atom
* ρ: 2.7 g/cm3
* Fermi-level density of states: 0.00 states/eV per cell
* E: -3.709 eV/atom

---

Density functional theory data (GGA-PBE) for a relaxed K2SeO3 crystal.

POSCAR file:
```
K2SeO3
1.0
-5.4692 1.5916 -3.1615
2.4730 -5.7298 1.4601
-3.5541 -4.0470 7.7310
Se O K
2 6 4
Direct
0.9080 0.9749 0.6868
0.0920 0.0251 0.3132
0.9991 0.7535 0.7865
0.2678 0.0798 0.1661
0.7322 0.9202 0.8339
0.2108 0.3392 0.6399
0.0009 0.2465 0.2135
0.7892 0.6608 0.3601
0.5951 0.2846 0.6710
0.4049 0.7154 0.3290
0.1796 0.4293 0.9000
0.8204 0.5707 0.1000
```

Results
* ρ: 2.5 g/cm3
* Fermi-level density of states: 0.00 states/eV per cell
* E: -4.899 eV/atom

---

What did the second record say?
Density functional theory data (GGA-PBE) for a relaxed K7SeO2 crystal.

POSCAR file:
```
K7SeO2
1.0
-2.6466 -4.2404 1.5217
3.9801 -4.4437 -5.4605
4.0041 0.0225 7.0265
K Se O
7 1 2
Direct
0.0000 0.7143 0.2857
0.5000 0.3133 0.0401
0.5000 0.6867 0.9599
0.5000 0.9599 0.6867
0.5000 0.0401 0.3133
0.0000 0.2857 0.7143
0.5000 0.5000 0.5000
0.0000 0.0000 0.0000
0.5000 0.7036 0.2964
0.5000 0.2964 0.7036
```

Results
* ρ: 2.0 g/cm3
* Fermi-level density of states: 2.48 states/eV per cell
* E: -2.953 eV/atom

---

Repeat the sixth record exactly.
Density functional theory data (GGA-PBE) for a relaxed KSeO3 crystal.

POSCAR file:
```
KSeO3
1.0
3.8887 0.0000 0.0000
0.0000 3.8887 0.0000
0.0000 0.0000 3.8887
O Se K
3 1 1
Direct
0.5000 0.0000 0.0000
0.0000 0.0000 0.5000
0.0000 0.5000 0.0000
0.0000 0.0000 0.0000
0.5000 0.5000 0.5000
```

Results
* ρ: 4.7 g/cm3
* Fermi-level density of states: 1.83 states/eV per cell
* E: -4.606 eV/atom